[1]
First-principles (PBE) data for LaTaOs2 after structural relaxation, as listed in Alexandria.

Values from the calculation:
Energy of formation in eV per atom: 0.5862
Total DFT energy (no corrections) in eV for the cell shown: -36.895
Space group: Pmmm
DOS at the Fermi energy in states/eV per cell: 3.78

a = 3.2322 Å, b = 4.5732 Å, c = 5.0397 Å
α = 90.00°, β = 90.00°, γ = 90.00°
Last column: nearest neighbours and their distance in Å.
Sites, in units of the cell vectors:
La  0.0000  0.0000  0.0000  4 Os 2.80, 4 Ta 2.99
Ta  0.5000  0.0000  0.5000  4 Os 2.80, 4 La 2.99
Os  0.0000  0.5000  0.5000  4 Ta 2.80, 4 Os 2.99
Os  0.5000  0.5000  0.0000  4 La 2.80, 4 Os 2.99

=====

[2]
First-principles (PBE) data for MgBi2OsSe after structural relaxation, as listed in Alexandria.

Values from the calculation:
Total DFT energy (no corrections) in eV for the cell shown: -19.298
Space group: P4/mmm
DOS at the Fermi energy in states/eV per cell: 7.41

a = 5.6988 Å, b = 5.6988 Å, c = 4.5144 Å
α = 90.00°, β = 90.00°, γ = 90.00°
Last column: nearest neighbours and their distance in Å.
Sites, in units of the cell vectors:
Mg  0.0000  0.0000  0.0000  8 Bi 3.64, 4 Os 4.03
Bi  0.0000  0.5000  0.5000  2 Se 2.85
Bi  0.5000  0.0000  0.5000  2 Se 2.85
Os  0.5000  0.5000  0.0000  2 Se 2.26
Se  0.5000  0.5000  0.5000  2 Os 2.26

=====

[3]
First-principles (PBE) data for Mg2InO2 after structural relaxation, as listed in Alexandria.

Values from the calculation:
Total DFT energy (no corrections) in eV for the cell shown: -24.157
Space group: I4/mmm
DOS at the Fermi energy in states/eV per cell: 1.88
Energy above the most stable polymorph in this dataset in meV per atom: 72

a = 6.6332 Å, b = 6.6332 Å, c = 6.6332 Å
α = 145.58°, β = 145.58°, γ = 49.48°
Last column: nearest neighbours and their distance in Å.
Sites, in units of the cell vectors:
Mg  0.2171  0.2171  0.0000  4 O 2.00
Mg  0.7829  0.7829  0.0000  4 O 2.00
In  0.5000  0.5000  0.0000  10 Mg 3.41-3.81, 8 O 3.60
O  0.2500  0.7500  0.5000  4 Mg 2.00
O  0.7500  0.2500  0.5000  4 Mg 2.00

=====

[4]
First-principles (PBE) data for Pm2NdAs after structural relaxation, as listed in Alexandria.

Values from the calculation:
Energy of formation in eV per atom: -0.6097
Total DFT energy (no corrections) in eV for the cell shown: -21.357
Space group: R-3m
DOS at the Fermi energy in states/eV per cell: 3.58
Energy above the most stable polymorph in this dataset in meV per atom: 11

a = 9.8981 Å, b = 9.8981 Å, c = 9.8981 Å
α = 23.12°, β = 23.12°, γ = 23.12°
Last column: nearest neighbours and their distance in Å.
Sites, in units of the cell vectors:
Pm  0.2282  0.2282  0.2282  3 As 2.90
Pm  0.7718  0.7718  0.7718  3 As 2.90
Nd  0.0000  0.0000  0.0000  6 Pm 3.80, 6 Nd 3.97
As  0.5000  0.5000  0.5000  6 Pm 2.90

=====

[5]
First-principles (PBE) data for AcPuScGe2 after structural relaxation, as listed in Alexandria.

Values from the calculation:
Energy of formation in eV per atom: -0.5252
Total DFT energy (no corrections) in eV for the cell shown: -36.633
Space group: I-4m2
DOS at the Fermi energy in states/eV per cell: 9.32

a = 7.0817 Å, b = 7.0817 Å, c = 7.0817 Å
α = 142.52°, β = 142.52°, γ = 54.05°
Last column: nearest neighbours and their distance in Å.
Sites, in units of the cell vectors:
Ac  0.0000  0.0000  0.0000  8 Ge 3.48, 4 Pu 3.89, 4 Sc 3.89
Pu  0.7500  0.2500  0.5000  4 Ge 2.92, 4 Sc 3.22
Sc  0.2500  0.7500  0.5000  4 Ge 2.92, 4 Pu 3.22
Ge  0.3956  0.3956  0.0000  1 Ge 2.63, 2 Sc 2.92, 2 Pu 2.92
Ge  0.6044  0.6044  0.0000  1 Ge 2.63, 2 Pu 2.92, 2 Sc 2.92

=====

[6]
First-principles (PBE) data for NaAg4Cl7 after structural relaxation, as listed in Alexandria.

Values from the calculation:
Total DFT energy (no corrections) in eV for the cell shown: -32.845
Space group: Cm
DOS at the Fermi energy in states/eV per cell: 10.83

a = 6.7526 Å, b = 6.7526 Å, c = 13.2069 Å
α = 106.80°, β = 106.80°, γ = 32.43°
Last column: nearest neighbours and their distance in Å.
Sites, in units of the cell vectors:
Na  0.0000  0.0000  0.0000  6 Cl 2.81-2.93
Ag  0.1433  0.1433  0.4128  4 Cl 2.52-2.64
Ag  0.2176  0.2176  0.8472  4 Cl 2.54-2.64
Ag  0.4345  0.4345  0.5565  4 Cl 2.52-2.63
Ag  0.7782  0.7782  0.1416  4 Cl 2.55-2.60
Cl  0.0588  0.0588  0.6427  2 Ag 2.52
Cl  0.1763  0.1763  0.2004  2 Ag 2.55
Cl  0.3850  0.3850  0.0813  2 Ag 2.60, 2 Na 2.81
Cl  0.5080  0.5080  0.3733  2 Ag 2.52
Cl  0.6169  0.6169  0.9203  2 Ag 2.64, 2 Na 2.81
Cl  0.7897  0.7897  0.4832  4 Ag 2.63-2.64
Cl  0.8298  0.8298  0.8061  2 Ag 2.54, 1 Na 2.83

=====

[7]
First-principles (PBE) data for La4S3O after structural relaxation, as listed in Alexandria.

Values from the calculation:
Total DFT energy (no corrections) in eV for the cell shown: -54.589
Space group: Pm-3m
DOS at the Fermi energy in states/eV per cell: 6.31

a = 5.7440 Å, b = 5.7440 Å, c = 5.7440 Å
α = 90.00°, β = 90.00°, γ = 90.00°
Last column: nearest neighbours and their distance in Å.
Sites, in units of the cell vectors:
La  0.0000  0.0000  0.0000  6 S 2.87
La  0.0000  0.5000  0.5000  2 O 2.87, 4 S 2.87
La  0.5000  0.0000  0.5000  2 O 2.87, 4 S 2.87
La  0.5000  0.5000  0.0000  2 O 2.87, 4 S 2.87
S  0.0000  0.0000  0.5000  6 La 2.87
S  0.0000  0.5000  0.0000  6 La 2.87
S  0.5000  0.0000  0.0000  6 La 2.87
O  0.5000  0.5000  0.5000  6 La 2.87

=====

[8]
First-principles (PBE) data for MgSnBr3 after structural relaxation, as listed in Alexandria.

Values from the calculation:
Total DFT energy (no corrections) in eV for the cell shown: -14.192
Space group: Pm-3m
DOS at the Fermi energy in states/eV per cell: 3.92
Energy above the most stable polymorph in this dataset in meV per atom: 0

a = 5.2514 Å, b = 5.2514 Å, c = 5.2514 Å
α = 90.00°, β = 90.00°, γ = 90.00°
Last column: nearest neighbours and their distance in Å.
Sites, in units of the cell vectors:
Mg  0.0000  0.0000  0.0000  6 Br 2.63
Sn  0.5000  0.5000  0.5000  12 Br 3.71
Br  0.0000  0.0000  0.5000  2 Mg 2.63
Br  0.0000  0.5000  0.0000  2 Mg 2.63
Br  0.5000  0.0000  0.0000  2 Mg 2.63

=====

[9]
First-principles (PBE) data for CaAs2Pd5Pb after structural relaxation, as listed in Alexandria.

Values from the calculation:
Energy of formation in eV per atom: -0.4011
Total DFT energy (no corrections) in eV for the cell shown: -44.583
Space group: P4/mmm
DOS at the Fermi energy in states/eV per cell: 3.26

a = 4.0545 Å, b = 4.0545 Å, c = 11.7088 Å
α = 90.00°, β = 90.00°, γ = 90.00°
Last column: nearest neighbours and their distance in Å.
Sites, in units of the cell vectors:
Ca  0.0000  0.0000  0.0000  4 Pd 2.87
As  0.5000  0.5000  0.2038  5 Pd 2.39-2.48
As  0.5000  0.5000  0.7962  5 Pd 2.39-2.48
Pd  0.0000  0.5000  0.3254  2 As 2.48
Pd  0.0000  0.5000  0.6746  2 As 2.48
Pd  0.5000  0.0000  0.3254  2 As 2.48
Pd  0.5000  0.0000  0.6746  2 As 2.48
Pd  0.5000  0.5000  0.0000  2 As 2.39
Pb  0.0000  0.0000  0.5000  8 Pd 2.88

=====

[10]
First-principles (PBE) data for YGeTe3 after structural relaxation, as listed in Alexandria.

Values from the calculation:
Total DFT energy (no corrections) in eV for the cell shown: -20.232
Space group: Pm-3m
DOS at the Fermi energy in states/eV per cell: 3.05
Energy above the most stable polymorph in this dataset in meV per atom: 690

a = 5.8129 Å, b = 5.8129 Å, c = 5.8129 Å
α = 90.00°, β = 90.00°, γ = 90.00°
Last column: nearest neighbours and their distance in Å.
Sites, in units of the cell vectors:
Y  0.0000  0.0000  0.0000  6 Te 2.91
Ge  0.5000  0.5000  0.5000  12 Te 4.11
Te  0.0000  0.0000  0.5000  2 Y 2.91
Te  0.0000  0.5000  0.0000  2 Y 2.91
Te  0.5000  0.0000  0.0000  2 Y 2.91

=====

[11]
First-principles (PBE) data for NaNbZn after structural relaxation, as listed in Alexandria.

Values from the calculation:
Energy of formation in eV per atom: 0.1001
Total DFT energy (no corrections) in eV for the cell shown: -24.725
Space group: P-1
DOS at the Fermi energy in states/eV per cell: 2.58
Energy above the most stable polymorph in this dataset in meV per atom: 0

a = 2.8656 Å, b = 2.8660 Å, c = 14.9760 Å
α = 89.84°, β = 89.71°, γ = 76.72°
Last column: nearest neighbours and their distance in Å.
Sites, in units of the cell vectors:
Na  0.2423  0.2479  0.3920  4 Na 2.87, 2 Zn 3.13
Na  0.7577  0.7521  0.6080  4 Na 2.87, 2 Zn 3.13
Nb  0.2478  0.2494  0.0760  4 Zn 2.79-3.12, 6 Nb 2.87-2.89
Nb  0.7522  0.7506  0.9240  4 Zn 2.79-3.12, 6 Nb 2.87-2.89
Zn  0.2569  0.2526  0.7800  4 Nb 2.79-3.12, 4 Zn 2.87, 1 Na 3.13
Zn  0.7431  0.7474  0.2200  4 Nb 2.79-3.12, 4 Zn 2.87, 1 Na 3.13

=====

[12]
First-principles (PBE) data for La3CeAu4 after structural relaxation, as listed in Alexandria.

Values from the calculation:
Energy of formation in eV per atom: -0.7249
Total DFT energy (no corrections) in eV for the cell shown: -39.625
Space group: Im-3m
DOS at the Fermi energy in states/eV per cell: 14.61

a = 6.5241 Å, b = 6.5241 Å, c = 6.5241 Å
α = 109.47°, β = 109.47°, γ = 109.47°
Last column: nearest neighbours and their distance in Å.
Sites, in units of the cell vectors:
La  0.0000  0.5000  0.5000  8 Au 3.26
La  0.5000  0.0000  0.5000  8 Au 3.26
La  0.5000  0.5000  0.0000  8 Au 3.26
Ce  0.0000  0.0000  0.0000  8 Au 3.26
Au  0.0000  0.0000  0.5000  6 La 3.26, 2 Ce 3.26
Au  0.0000  0.5000  0.0000  6 La 3.26, 2 Ce 3.26
Au  0.5000  0.0000  0.0000  6 La 3.26, 2 Ce 3.26
Au  0.5000  0.5000  0.5000  6 La 3.26, 2 Ce 3.26

=====

Copy entry 8 word for word.
First-principles (PBE) data for MgSnBr3 after structural relaxation, as listed in Alexandria.

Values from the calculation:
Total DFT energy (no corrections) in eV for the cell shown: -14.192
Space group: Pm-3m
DOS at the Fermi energy in states/eV per cell: 3.92
Energy above the most stable polymorph in this dataset in meV per atom: 0

a = 5.2514 Å, b = 5.2514 Å, c = 5.2514 Å
α = 90.00°, β = 90.00°, γ = 90.00°
Last column: nearest neighbours and their distance in Å.
Sites, in units of the cell vectors:
Mg  0.0000  0.0000  0.0000  6 Br 2.63
Sn  0.5000  0.5000  0.5000  12 Br 3.71
Br  0.0000  0.0000  0.5000  2 Mg 2.63
Br  0.0000  0.5000  0.0000  2 Mg 2.63
Br  0.5000  0.0000  0.0000  2 Mg 2.63

=====

Question: Which formula does entry 12 have?
Answer: La3CeAu4